[1]
First-principles (PBE-GGA) data for an optimized crystal structure of TlTcPO6, as listed in the Alexandria database.

Cell: 4.9636 4.9636 6.1961 Å, 90.00 90.00 120.00°
Space group P312 (No. 149)
Symmetry-distinct sites (fractional):
Tl: 0.0000 0.0000 0.0000 (multiplicity 1)
Tc: 0.6667 0.3333 0.5000 (multiplicity 1)
P: 0.3333 0.6667 0.5000 (multiplicity 1)
O: 0.0301 0.4119 0.6646 (multiplicity 6)

Calculated values
- Magnetic moment: 1.0 μB per formula unit
- E_tot: -6.74 eV per atom
- Formation energy without anion corrections: -1.42 eV per atom


[2]
First-principles (PBE-GGA) data for an optimized crystal structure of MgAlBr2, as listed in the Alexandria database.

Cell: 3.9946 3.9946 27.6561 Å, 90.00 90.00 120.00°
Space group R-3m (No. 166, hexagonal axes)
Symmetry-distinct sites (fractional):
Mg: 0.0000 0.0000 0.0000 (multiplicity 3)
Al: 0.0000 0.0000 0.5000 (multiplicity 3)
Br: 0.0000 0.0000 0.0937 (multiplicity 6)

Calculated values
- Magnetic moment: 0.0 μB per formula unit
- ΔE to the lowest computed polymorph: 375.9 meV/atom
- E_tot: -2.43 eV per atom
- Formation energy without anion corrections: -0.26 eV per atom


[3]
First-principles (PBE-GGA) data for an optimized crystal structure of Ho2Er2Sc7, as listed in the Alexandria database.

Cell: 16.2517 10.9952 3.4375 Å, 90.00 102.13 90.00°
Space group C2/m (No. 12)
Symmetry-distinct sites (fractional):
Ho: 0.1908 0.0000 0.1897 (multiplicity 4)
Er: 0.0000 0.2432 0.0000 (multiplicity 4)
Sc: 0.0000 0.0000 0.5000 (multiplicity 2)
Sc: 0.1150 0.5000 0.1171 (multiplicity 4)
Sc: 0.1712 0.2701 0.6715 (multiplicity 8)

Calculated values
- Magnetic moment: 0.0 μB per formula unit
- ΔH_f (0 K): 1.47 eV/f.u.
- ΔE to the lowest computed polymorph: 0.0 meV/atom
- E_tot: -5.56 eV per atom


- Number 1 is which compound?
  TlTcPO6